This record from the Alexandria database describes PuMgCoH6 after structural relaxation. The functional is PBE.

Cell: 4.492 4.492 4.351 Å, 90.00 90.00 120.00°
Positions (direct):
Pu 0.000 0.000 0.000
Mg 0.333 0.667 0.500
Co 0.667 0.333 0.500
H 0.524 0.048 0.228
H 0.524 0.048 0.772
H 0.524 0.476 0.228
H 0.524 0.476 0.772
H 0.952 0.476 0.228
H 0.952 0.476 0.772

Results
Crystal system ... hexagonal

This record from the Alexandria database describes RbMg2CoH after structural relaxation. The functional is PBE.

Cell: 5.177 5.177 4.073 Å, 90.00 90.00 90.00°
Positions (direct):
Rb 0.000 0.000 0.000
Mg 0.000 0.500 0.500
Mg 0.500 0.000 0.500
Co 0.500 0.500 0.500
H 0.500 0.500 0.000

Results
Crystal system ... tetragonal

This record from the Alexandria database describes MgCoHRh2 after structural relaxation. The functional is PBE.

Cell: 3.962 3.962 3.635 Å, 90.00 90.00 90.00°
Positions (direct):
Mg 0.000 0.000 0.000
Co 0.500 0.500 0.000
H 0.500 0.500 0.500
Rh 0.000 0.500 0.500
Rh 0.500 0.000 0.500

Results
Crystal system ... tetragonal
Polymorph energy (0 for the lowest one) ... 0.000 eV/atom

This record from the Alexandria database describes MgCoHRh2 after structural relaxation. The functional is PBE.

Cell: 3.901 3.901 3.879 Å, 90.00 90.00 90.00°
Positions (direct):
Mg 0.000 0.000 0.000
Co 0.500 0.500 0.000
H 0.000 0.000 0.500
Rh 0.000 0.500 0.500
Rh 0.500 0.000 0.500

Results
Crystal system ... tetragonal
Polymorph energy (0 for the lowest one) ... 0.091 eV/atom

This record from the Alexandria database describes Mg2CoHRu after structural relaxation. The functional is PBE.

Cell: 4.392 4.392 3.174 Å, 90.00 90.00 90.00°
Positions (direct):
Mg 0.000 0.500 0.000
Mg 0.500 0.000 0.000
Co 0.000 0.000 0.500
H 0.000 0.000 0.000
Ru 0.500 0.500 0.500

Results
Crystal system ... tetragonal

This record from the Alexandria database describes MgCoSbH2 after structural relaxation. The functional is PBE.

Cell: 3.787 3.787 5.065 Å, 90.00 90.00 90.00°
Positions (direct):
Mg 0.000 0.000 0.000
Co 0.000 0.000 0.500
Sb 0.500 0.500 0.000
H 0.000 0.500 0.500
H 0.500 0.000 0.500

Results
Crystal system ... tetragonal

This record from the Alexandria database describes MgScCo2H6 after structural relaxation. The functional is PBE.

Cell: 5.384 5.384 5.384 Å, 47.00 47.00 47.00°
Positions (direct):
Mg 0.000 0.000 0.000
Sc 0.500 0.500 0.500
Co 0.293 0.293 0.293
Co 0.707 0.707 0.707
H 0.067 0.067 0.542
H 0.067 0.542 0.067
H 0.458 0.933 0.933
H 0.542 0.067 0.067
H 0.933 0.458 0.933
H 0.933 0.933 0.458

Results
Crystal system ... trigonal

This record from the Alexandria database describes MgScCo2H8 after structural relaxation. The functional is PBE.

Cell: 5.507 5.507 5.507 Å, 48.98 48.98 48.98°
Positions (direct):
Mg 0.000 0.000 0.000
Sc 0.500 0.500 0.500
Co 0.302 0.302 0.302
Co 0.698 0.698 0.698
H 0.103 0.636 0.421
H 0.191 0.191 0.191
H 0.364 0.579 0.897
H 0.421 0.103 0.636
H 0.579 0.897 0.364
H 0.636 0.421 0.103
H 0.809 0.809 0.809
H 0.897 0.364 0.579

Results
Crystal system ... trigonal

Result set for raw total energy: -5.01 -2.32 -5.49 -5.40 -4.50 -3.23 -4.39 -4.23 eV/atom, one per record in the order listed.